This record from Alexandria describes crystalline NaAs2Pd4 at its relaxed geometry. The functional is PBE-GGA.

Structure (POSCAR):
```
NaAs2Pd4
1.0
3.874 0.000 0.000
0.000 7.973 0.000
0.000 0.000 7.973
Na As Pd
2 4 8
Direct
0.500 0.000 0.000
0.000 0.500 0.500
0.000 0.229 0.771
0.000 0.771 0.229
0.500 0.729 0.729
0.500 0.271 0.271
0.000 0.075 0.328
0.000 0.925 0.672
0.500 0.172 0.575
0.500 0.828 0.425
0.500 0.425 0.828
0.500 0.575 0.172
0.000 0.328 0.075
0.000 0.672 0.925
```

Results
**Space group**: No. 136
**Formation enthalpy at 0 K**: -0.44 eV per atom